Density functional theory data (PBE-GGA) for a relaxed YZnPdAu crystal.

CIF file:
```
data_YZnPdAu
_symmetry_space_group_name_H-M 'C 1 m 1'
_symmetry_Int_Tables_number 8
_cell_length_a 7.832
_cell_length_b 4.502
_cell_length_c 5.177
_cell_angle_alpha 90.00
_cell_angle_beta 120.13
_cell_angle_gamma 90.00
loop_
_symmetry_equiv_pos_as_xyz
'x,y,z'
'x,-y,z'
'x+1/2,y+1/2,z'
'x+1/2,-y+1/2,z'
loop_
_atom_site_label
_atom_site_fract_x
_atom_site_fract_y
_atom_site_fract_z
Y1 0.000 0.000 0.000
Zn1 0.013 0.500 0.539
Pd1 0.219 0.000 0.657
Au1 0.279 0.500 0.336
```

Values from the calculation:
energy of formation from the pure elements: -693 meV/atom

---

Density functional theory data (PBE-GGA) for a relaxed Mn2NiSnN crystal.

CIF file:
```
data_Mn2NiSnN
_symmetry_space_group_name_H-M 'P 4/m m m'
_symmetry_Int_Tables_number 123
_symmetry_space_group_name_Hall '-P 4 2'
_cell_length_a 3.889
_cell_length_b 3.889
_cell_length_c 4.047
_cell_angle_alpha 90.00
_cell_angle_beta 90.00
_cell_angle_gamma 90.00
loop_
_atom_site_label
_atom_site_fract_x
_atom_site_fract_y
_atom_site_fract_z
Mn1 0.000 0.500 0.000
Ni1 0.000 0.000 0.500
Sn1 0.500 0.500 0.500
N1 0.000 0.000 0.000
```

Values from the calculation:
ΔE_f (raw): -59 kJ/mol of formula units

---

Record-wise density values, in g/cm³: 9.6 8.2